HoMgZr2: relaxed, PBE.

Lattice parameters (Å, degrees): 4.563 4.563 4.645 90.00 90.00 90.00
Fractional positions:
Ho 0.000 0.000 0.000
Mg 0.500 0.500 0.000
Zr 0.000 0.500 0.500
Zr 0.500 0.000 0.500

- D(E_F): 1.276 states/eV/atom
- V: 97 Å³/cell
- ΔE_f: 84 meV per atom
- Excess energy over the best structure of this formula in the dataset: 63.6 meV per atom
- Symmetry: No. 123
- Magnetization: 0.00 μB per atom

=====

CrAgHgGe2: relaxed, PBE.

Lattice parameters (Å, degrees): 4.611 4.611 5.184 90.00 90.00 90.00
Fractional positions:
Cr 0.000 0.000 0.000
Ag 0.500 0.500 0.500
Hg 0.000 0.000 0.500
Ge 0.000 0.500 0.000
Ge 0.500 0.000 0.000

- D(E_F): 0.648 states/eV/atom
- V: 110 Å³/cell
- ΔE_f: 504 meV per atom
- Symmetry: No. 123
- Magnetization: 0.00 μB per atom

=====

| no. | energy (eV per atom) |
| --- | --- |
| 1 | -5.7329 |
| 2 | -3.8984 |